[1]
The following is a DFT calculation (GGA-PBE) of Hf5TiC4 after structural relaxation.

abc: 14.0593 3.2633 6.5073
angles: 90.00 104.07 90.00
Closest atoms and distances in Å follow each position.
Space group C2/m (No. 12)
Symmetry-distinct sites (fractional):
Hf (0.0000, 0.0000, 0.0000)  4 C 2.32
Hf (0.1623, 0.5000, 0.8204)  3 C 2.20-2.23
Hf (0.1641, 0.5000, 0.3485)  4 C 2.25-2.32
Ti (0.0000, 0.0000, 0.5000)  6 C 2.27-2.29
C (0.0013, 0.5000, 0.7466)  4 Hf 2.20-2.32, 2 Ti 2.29
C (0.1662, 0.0000, 0.5879)  5 Hf 2.23-2.32, 1 Ti 2.27

## Properties
Its total moment is 0.00 μB/atom. Its density is 11.3 g cm⁻³. Its crystal system is monoclinic. For the energy of formation, the calculation gives -0.72 eV per atom.

[2]
The following is a DFT calculation (GGA-PBE) of CuGeN2 after structural relaxation.

abc: 4.5727 4.5727 8.7032
angles: 90.00 90.00 90.00
Closest atoms and distances in Å follow each position.
Space group I-42d (No. 122)
Symmetry-distinct sites (fractional):
Cu (0.0000, 0.0000, 0.0000)  4 N 2.02
Ge (0.0000, 0.0000, 0.5000)  4 N 1.88
N (0.2243, 0.2500, 0.6250)  2 Ge 1.88, 2 Cu 2.02

## Properties
Its total moment is 0.20 μB/atom. Its density is 6.0 g cm⁻³. Its crystal system is tetragonal. For the formation energy (no corrections), the calculation gives 0.281 eV per atom.

[3]
The following is a DFT calculation (GGA-PBE) of SrPtW3 after structural relaxation.

abc: 4.9335 4.9335 4.9335
angles: 90.00 90.00 90.00
Closest atoms and distances in Å follow each position.
Space group Pm-3m (No. 221)
Symmetry-distinct sites (fractional):
Sr (0.0000, 0.0000, 0.0000)  12 W 3.49
Pt (0.5000, 0.5000, 0.5000)  6 W 2.47
W (0.0000, 0.5000, 0.5000)  2 Pt 2.47

## Properties
Its total moment is 0.37 μB/atom. Its density is 11.5 g cm⁻³. The polymorph energy (0 for the lowest one) is 0 meV per atom. Its crystal system is cubic. For the energy of formation, the calculation gives 1.81 eV per atom.

Which formula does entry 3 have? SrPtW3